Record 1
## Pm4ZrIr3 (GGA-PBE)

Data for Pm4ZrIr3 after structural relaxation.

Geometry as POSCAR:
```
Pm4ZrIr3
1.0
5.760 0.000 2.040
2.880 7.908 1.020
0.240 0.000 8.474
Ir Zr Pm
6 2 8
Direct
0.750 0.000 0.000
0.250 0.000 0.000
0.357 0.786 0.500
0.643 0.214 0.500
0.143 0.500 0.214
0.857 0.500 0.786
0.750 0.500 0.500
0.250 0.500 0.500
0.417 0.296 0.870
0.583 0.704 0.130
0.713 0.870 0.704
0.083 0.130 0.704
0.287 0.130 0.296
0.917 0.870 0.296
0.787 0.296 0.130
0.213 0.704 0.870
```

Values from the calculation:
The value obtained for the formation energy is -0.632 eV per atom. The total moment is 0.0 μB/f.u. As for the symmetry: I4/mcm, No. 140.

---

Record 2
## LaTlCd2 (GGA-PBE)

Data for LaTlCd2 after structural relaxation.

Geometry as POSCAR:
```
LaTlCd2
1.0
5.019 0.000 0.000
0.000 3.445 -0.102
0.000 0.698 6.444
Tl Cd La
1 2 1
Direct
0.500 0.938 0.747
0.000 0.007 0.010
0.500 0.052 0.242
0.000 0.504 0.501
```

Values from the calculation:
The value obtained for the formation energy is -0.209 eV per atom. The total moment is 0.1 μB/f.u. As for the symmetry: Pm, No. 6.

---

Record 3
## Be2HOs (GGA-PBE)

Data for Be2HOs after structural relaxation.

Geometry as POSCAR:
```
Be2HOs
1.0
0.000 2.652 2.652
2.652 0.000 2.652
2.652 2.652 0.000
Be Os H
2 1 1
Direct
0.250 0.250 0.250
0.750 0.750 0.750
0.500 0.500 0.500
0.000 0.000 0.000
```

Values from the calculation:
The total moment is 0.0 μB/f.u. As for the energy above the most stable polymorph in this dataset: 559 meV/atom. As for the symmetry: Fm-3m, No. 225.

---

Record 4
## ThTlAs2 (GGA-PBE)

Data for ThTlAs2 after structural relaxation.

Geometry as POSCAR:
```
ThTlAs2
1.0
3.934 0.000 0.000
0.000 4.904 0.000
0.000 0.000 4.904
Tl As Th
1 2 1
Direct
0.500 0.500 0.500
0.000 0.000 0.500
0.000 0.500 0.000
0.500 0.000 0.000
```

Values from the calculation:
The value obtained for the formation energy is -0.609 eV per atom. The total moment is 0.0 μB/f.u. As for the energy above the most stable polymorph in this dataset: 0 meV/atom. As for the symmetry: P4/mmm, No. 123.